YTeOs2 | PBE | relaxed

abc: 3.1539 3.1539 7.9158
angles: 90.00 90.00 90.00
With the nearest neighbours (Å) after each atom.
Positions (direct):
Y 0.0000 0.0000 0.0000  4 Os 3.04, 4 Y 3.15, 4 Te 3.28
Te 0.5000 0.5000 0.6961  4 Os 2.98, 4 Te 3.15, 4 Y 3.28
Os 0.0000 0.0000 0.4467  4 Os 2.67, 4 Te 2.98
Os 0.5000 0.5000 0.2607  4 Os 2.67

Values from the calculation:
DOS(E_F) = 3.71 states/eV per cell
formation energy from raw total energies = 0.30 eV/atom

=====

Hf3MnRh | PBE | relaxed

abc: 4.6818 4.6818 4.6818
angles: 90.00 90.00 90.00
With the nearest neighbours (Å) after each atom.
Positions (direct):
Hf 0.0000 0.0000 0.5000  2 Mn 2.34
Hf 0.0000 0.5000 0.0000  2 Mn 2.34
Hf 0.5000 0.0000 0.0000  2 Mn 2.34
Mn 0.0000 0.0000 0.0000  6 Hf 2.34
Rh 0.5000 0.5000 0.5000  12 Hf 3.31

Values from the calculation:
DOS(E_F) = 6.83 states/eV per cell
calculated formation energy = 8.5 kcal/mol of atoms

=====

Rb2GePt | PBE | relaxed

abc: 9.4819 9.4819 9.4819
angles: 93.54 93.54 151.24
With the nearest neighbours (Å) after each atom.
Positions (direct):
Rb 0.3750 0.1732 0.2982  2 Pt 3.36, 2 Ge 3.75
Rb 0.8268 0.1250 0.2018  2 Pt 3.36, 2 Ge 3.75
Rb 0.8750 0.0768 0.7018  2 Pt 3.36, 2 Ge 3.75
Rb 0.9232 0.6250 0.7982  2 Pt 3.36, 2 Ge 3.75
Ge 0.2500 0.7500 0.5000  2 Pt 2.35
Ge 0.5000 0.5000 0.0000  2 Pt 2.35
Pt 0.0000 0.0000 0.0000  2 Ge 2.35
Pt 0.7500 0.2500 0.5000  2 Ge 2.35

Values from the calculation:
DOS(E_F) = 4.25 states/eV per cell
calculated formation energy = -4.6 kcal/mol of atoms

=====

Ti2Tc3W | PBE | relaxed

abc: 3.1160 3.1160 9.3449
angles: 90.00 90.00 90.00
With the nearest neighbours (Å) after each atom.
Positions (direct):
Ti 0.0000 0.0000 0.1628  8 Tc 2.68-2.73
Ti 0.0000 0.0000 0.8372  8 Tc 2.68-2.73
Tc 0.5000 0.5000 0.0000  8 Ti 2.68
Tc 0.5000 0.5000 0.3348  4 W 2.69, 4 Ti 2.73
Tc 0.5000 0.5000 0.6652  4 W 2.69, 4 Ti 2.73
W 0.0000 0.0000 0.5000  8 Tc 2.69

Values from the calculation:
DOS(E_F) = 4.11 states/eV per cell
calculated formation energy = -9.7 kcal/mol of atoms

=====

Results for magnetic moment: 0.00 0.00 0.00 0.00 (in μB per formula unit, following the order of the records).